VASP calculation (PBE-GGA) on a relaxed NaAgHg2Cl8 crystal.

Unit cell a=8.565 b=8.565 c=9.263 alpha=90.00 beta=90.00 gamma=90.00
Space group I-4m2 (No. 119)
Asymmetric unit:
Na1 0.000 0.000 0.000
Ag1 0.000 0.500 0.250
Hg1 0.000 0.000 0.500
Hg2 0.000 0.500 0.750
Cl1 0.000 0.204 0.297
Cl2 0.000 0.307 0.950

* calculated total energy: -51.0 eV/cell
* E_form (uncorrected): -0.49 eV per atom
* density of states at the Fermi level: 1.24 states/eV per atom

=====

VASP calculation (PBE-GGA) on a relaxed SrCa2Nd crystal.

Unit cell a=3.8904 b=3.8904 c=38.5929 alpha=90.00 beta=90.00 gamma=120.00
Space group R-3m (No. 166, hexagonal axes)
Asymmetric unit:
Sr1 0.0000 0.0000 0.0000
Ca1 0.0000 0.0000 0.2460
Nd1 0.0000 0.0000 0.5000

* calculated total energy: -30.4 eV/cell
* density of states at the Fermi level: 1.58 states/eV per atom
* energy of formation: 78.5 meV/atom
* excess energy over the best structure of this formula in the dataset: 8 meV per atom